--- i ---
TbY4Zn: optimized geometry, GGA-PBE.

Properties
Its space group is P4/mmm, No. 123.

extended XYZ file:
```
6
Lattice="3.573 0.000 0.000 0.000 3.573 0.000 0.000 0.000 13.783" Properties=species:S:1:pos:R:3 pbc="T T T"
Tb 0.000 0.000 0.000
Y 0.000 0.000 5.120
Y 0.000 0.000 8.664
Y 1.786 1.786 2.511
Y 1.786 1.786 11.272
Zn 1.786 1.786 6.892
```


--- ii ---
TbY4Zn: optimized geometry, GGA-PBE.

Properties
Its space group is C2/c, No. 15.

extended XYZ file:
```
12
Lattice="4.432 -6.822 0.000 4.432 6.822 0.000 -2.054 0.000 5.897" Properties=species:S:1:pos:R:3 pbc="T T T"
Tb 2.891 5.448 4.423
Tb 3.918 -5.448 1.474
Y 0.191 1.436 5.126
Y 2.591 2.488 2.638
Y 1.218 -1.436 2.177
Y 5.245 2.488 0.310
Y 1.565 -2.488 5.587
Y 5.592 1.436 3.719
Y 4.218 -2.488 3.258
Y 6.618 -1.436 0.771
Zn 3.918 0.010 1.474
Zn 2.891 -0.010 4.423
```


So which one is most stable? That would be i, about 0.099 eV/atom below the next structure.


--- i ---
Tb2Y3Zn2: optimized geometry, GGA-PBE.

Properties
Its space group is Cmmm, No. 65.

extended XYZ file:
```
7
Lattice="1.768 -15.388 0.000 1.768 15.388 0.000 0.000 0.000 3.526" Properties=species:S:1:pos:R:3 pbc="T T T"
Tb 1.768 9.197 0.000
Tb 1.768 -9.197 0.000
Y 1.768 3.620 1.763
Y 1.768 0.000 1.763
Y 1.768 -3.620 1.763
Zn 1.768 13.606 0.000
Zn 1.768 -13.606 0.000
```


--- ii ---
Tb2Y3Zn2: optimized geometry, GGA-PBE.

Properties
Its space group is C2/m, No. 12.

extended XYZ file:
```
7
Lattice="6.477 -1.834 0.000 6.477 1.834 0.000 -3.995 0.000 8.185" Properties=species:S:1:pos:R:3 pbc="T T T"
Tb 0.704 0.000 2.554
Tb 8.256 0.000 5.631
Y 4.812 0.000 0.479
Y 4.480 0.000 4.092
Y 4.148 0.000 7.706
Zn -0.600 0.000 5.952
Zn 9.560 0.000 2.233
```


So which one is most stable? That would be ii, about 0.032 eV/atom below the next structure.


--- i ---
TbY3Zn2: optimized geometry, GGA-PBE.

Properties
Its space group is P4/mmm, No. 123.

extended XYZ file:
```
6
Lattice="3.579 0.000 0.000 0.000 3.579 0.000 0.000 0.000 12.235" Properties=species:S:1:pos:R:3 pbc="T T T"
Tb 0.000 0.000 0.000
Y 1.790 1.790 2.569
Y 1.790 1.790 6.117
Y 1.790 1.790 9.666
Zn 0.000 0.000 4.347
Zn 0.000 0.000 7.888
```


--- ii ---
TbY3Zn2: optimized geometry, GGA-PBE.

Properties
Its space group is Pmc2_1, No. 26.

extended XYZ file:
```
12
Lattice="5.042 0.000 0.000 0.000 9.124 0.000 0.000 0.000 6.798" Properties=species:S:1:pos:R:3 pbc="T T T"
Tb 0.000 0.534 0.000
Tb 0.000 8.590 3.399
Y 0.000 2.980 4.422
Y 0.000 6.144 1.023
Y 2.521 1.580 2.172
Y 2.521 4.035 6.588
Y 2.521 5.089 3.189
Y 2.521 7.544 5.571
Zn 0.000 3.199 1.441
Zn 0.000 5.925 4.839
Zn 2.521 1.372 5.152
Zn 2.521 7.752 1.753
```


So which one is most stable? That would be ii, about 0.007 eV/atom below the next structure.


--- i ---
Tb5Zn2: optimized geometry, GGA-PBE.

Properties
Its space group is Ibam, No. 72.

extended XYZ file:
```
14
Lattice="-3.504 8.011 3.385 3.504 -8.011 3.385 3.504 8.011 -3.385" Properties=species:S:1:pos:R:3 pbc="T T T"
Tb 3.504 4.342 -1.693
Tb 4.483 1.435 0.000
Tb 0.000 0.000 1.693
Tb 0.979 6.575 0.000
Tb 0.000 3.669 1.693
Tb 3.504 4.342 1.693
Tb 2.525 1.435 3.385
Tb 0.000 0.000 5.078
Tb -0.979 6.575 3.385
Tb 0.000 3.669 5.078
Zn 1.685 1.855 0.000
Zn 1.685 -1.855 3.385
Zn 1.819 9.866 0.000
Zn 1.819 6.155 3.385
```


--- ii ---
Tb5Zn2: optimized geometry, GGA-PBE.

Properties
Its space group is C2/c, No. 15.

extended XYZ file:
```
14
Lattice="8.089 -3.518 0.000 8.089 3.518 0.000 -0.118 0.000 6.714" Properties=species:S:1:pos:R:3 pbc="T T T"
Tb 8.000 3.477 5.036
Tb 3.580 0.183 5.118
Tb 3.639 -0.183 1.761
Tb 6.537 0.981 3.306
Tb 9.581 0.981 0.051
Tb 6.478 -0.981 6.664
Tb 9.522 -0.981 3.408
Tb 12.421 0.183 4.954
Tb 12.480 -0.183 1.596
Tb 8.059 -3.477 1.679
Zn 6.141 1.818 6.626
Zn 9.859 1.818 3.445
Zn 6.200 -1.818 3.269
Zn 9.918 -1.818 0.088
```


So which one is most stable? That would be ii, about 0.025 eV/atom below the next structure.